First-principles (PBE-GGA) data for a relaxed PmThSc crystal, as listed in the Alexandria database.

Properties
Energy above the most stable polymorph in this dataset (meV/atom): 263
Formation energy (eV per atom): 0.32

a = 4.788 Å, b = 4.788 Å, c = 8.301 Å
α = 90.00°, β = 90.00°, γ = 90.00°
Space group P4/nmm (No. 129, origin choice 2)
Unique sites:
Pm  0.250  0.250  0.204 (multiplicity 2)
Th  0.250  0.250  0.791 (multiplicity 2)
Sc  0.250  0.750  0.500 (multiplicity 2)

First-principles (PBE-GGA) data for a relaxed Pr3ThS4 crystal, as listed in the Alexandria database.

Properties
Energy above the most stable polymorph in this dataset (meV/atom): 3
Formation energy (no corrections) (eV per atom): -1.97

a = 7.092 Å, b = 8.158 Å, c = 7.075 Å
α = 90.00°, β = 109.37°, γ = 90.00°
Space group P2/c (No. 13)
Unique sites:
Pr  0.000  0.124  0.250 (multiplicity 2)
Pr  0.000  0.374  0.750 (multiplicity 2)
Pr  0.500  0.373  0.250 (multiplicity 2)
Th  0.500  0.123  0.750 (multiplicity 2)
S  0.253  0.124  0.999 (multiplicity 4)
S  0.253  0.373  0.503 (multiplicity 4)

First-principles (PBE-GGA) data for a relaxed CaTl2OsO8 crystal, as listed in the Alexandria database.

Properties
Formation energy (no corrections) (eV per atom): -1.07

a = 5.121 Å, b = 5.168 Å, c = 6.780 Å
α = 91.94°, β = 92.04°, γ = 92.89°
Space group P-1 (No. 2)
Unique sites:
Ca  0.000  0.000  0.000 (multiplicity 1)
Tl  0.481  0.482  0.755 (multiplicity 2)
Os  0.000  0.000  0.500 (multiplicity 1)
O  0.173  0.830  0.305 (multiplicity 2)
O  0.182  0.838  0.696 (multiplicity 2)
O  0.273  0.284  0.502 (multiplicity 2)
O  0.297  0.316  0.017 (multiplicity 2)

First-principles (PBE-GGA) data for a relaxed Pm3Nd2Sn2 crystal, as listed in the Alexandria database.

Properties
Formation energy (eV per atom): -0.30

a = 17.110 Å, b = 3.576 Å, c = 8.164 Å
α = 90.00°, β = 116.28°, γ = 90.00°
Space group C2/m (No. 12)
Unique sites:
Pm  0.000  0.000  0.000 (multiplicity 2)
Pm  0.212  0.000  0.146 (multiplicity 4)
Nd  0.113  0.000  0.472 (multiplicity 4)
Sn  0.081  0.500  0.775 (multiplicity 4)

First-principles (PBE-GGA) data for a relaxed PmGd2Ge crystal, as listed in the Alexandria database.

Properties
Energy above the most stable polymorph in this dataset (meV/atom): 0
Formation energy (eV per atom): -0.36

a = 4.731 Å, b = 4.731 Å, c = 4.743 Å
α = 90.00°, β = 90.00°, γ = 90.00°
Space group P4/mmm (No. 123)
Unique sites:
Pm  0.000  0.000  0.000 (multiplicity 1)
Gd  0.000  0.500  0.500 (multiplicity 2)
Ge  0.500  0.500  0.000 (multiplicity 1)

First-principles (PBE-GGA) data for a relaxed Er2ZnCoC crystal, as listed in the Alexandria database.

Properties
Formation energy (eV per atom): -0.38

a = 4.922 Å, b = 4.922 Å, c = 3.627 Å
α = 90.00°, β = 90.00°, γ = 90.00°
Space group P4/mmm (No. 123)
Unique sites:
Er  0.000  0.500  0.000 (multiplicity 2)
Zn  0.000  0.000  0.500 (multiplicity 1)
Co  0.500  0.500  0.500 (multiplicity 1)
C  0.500  0.500  0.000 (multiplicity 1)

First-principles (PBE-GGA) data for a relaxed KZrTa2 crystal, as listed in the Alexandria database.

Properties
Energy above the most stable polymorph in this dataset (meV/atom): 13
Formation energy (eV per atom): 0.55

a = 3.460 Å, b = 4.875 Å, c = 11.360 Å
α = 90.00°, β = 90.00°, γ = 90.00°
Space group Cmm2 (No. 35)
Unique sites:
K  0.000  0.000  0.000 (multiplicity 2)
Zr  0.000  0.500  0.688 (multiplicity 2)
Ta  0.000  0.000  0.478 (multiplicity 2)
Ta  0.000  0.500  0.289 (multiplicity 2)

First-principles (PBE-GGA) data for a relaxed La2Ni4Ge3Au crystal, as listed in the Alexandria database.

Properties
Formation energy (eV per atom): -0.61

a = 4.265 Å, b = 4.265 Å, c = 9.807 Å
α = 90.00°, β = 90.00°, γ = 90.00°
Space group P-4m2 (No. 115)
Unique sites:
La  0.000  0.500  0.247 (multiplicity 2)
Ni  0.000  0.000  0.000 (multiplicity 1)
Ni  0.000  0.500  0.640 (multiplicity 2)
Ni  0.500  0.500  0.000 (multiplicity 1)
Ge  0.000  0.500  0.881 (multiplicity 2)
Ge  0.500  0.500  0.500 (multiplicity 1)
Au  0.000  0.000  0.500 (multiplicity 1)

First-principles (PBE-GGA) data for a relaxed Tb5AgRu2 crystal, as listed in the Alexandria database.

Properties
Formation energy (eV per atom): -0.35

a = 7.795 Å, b = 7.795 Å, c = 13.138 Å
α = 90.00°, β = 90.00°, γ = 90.00°
Space group I4/mcm (No. 140)
Unique sites:
Tb  0.000  0.000  0.000 (multiplicity 4)
Tb  0.156  0.344  0.135 (multiplicity 16)
Ag  0.000  0.000  0.250 (multiplicity 4)
Ru  0.144  0.356  0.500 (multiplicity 8)

First-principles (PBE-GGA) data for a relaxed CoRuAu2 crystal, as listed in the Alexandria database.

Properties
Formation energy (eV per atom): 0.26

a = 2.7757 Å, b = 2.7757 Å, c = 27.8736 Å
α = 90.00°, β = 90.00°, γ = 120.00°
Space group R3m (No. 160, hexagonal axes)
Unique sites:
Co  0.0000  0.0000  0.0000 (multiplicity 3)
Ru  0.0000  0.0000  0.7358 (multiplicity 3)
Au  0.0000  0.0000  0.2521 (multiplicity 3)
Au  0.0000  0.0000  0.4905 (multiplicity 3)

First-principles (PBE-GGA) data for a relaxed K2CuAu crystal, as listed in the Alexandria database.

Properties
Energy above the most stable polymorph in this dataset (meV/atom): 193
Formation energy (eV per atom): 0.13

a = 7.568 Å, b = 7.568 Å, c = 7.568 Å
α = 90.00°, β = 90.00°, γ = 90.00°
Space group F-43m (No. 216)
Unique sites:
K  0.000  0.000  0.000 (multiplicity 4)
K  0.250  0.250  0.250 (multiplicity 4)
Cu  0.250  0.250  0.750 (multiplicity 4)
Au  0.000  0.000  0.500 (multiplicity 4)

First-principles (PBE-GGA) data for a relaxed CuWSe2 crystal, as listed in the Alexandria database.

Properties
Energy above the most stable polymorph in this dataset (meV/atom): 344
Formation energy (no corrections) (eV per atom): 0.19

a = 3.162 Å, b = 3.162 Å, c = 6.502 Å
α = 90.00°, β = 90.00°, γ = 90.00°
Space group P4/mmm (No. 123)
Unique sites:
Cu  0.000  0.000  0.000 (multiplicity 1)
W  0.000  0.000  0.500 (multiplicity 1)
Se  0.500  0.500  0.264 (multiplicity 2)

First-principles (PBE-GGA) data for a relaxed BeTlCl2 crystal, as listed in the Alexandria database.

Properties
Energy above the most stable polymorph in this dataset (meV/atom): 1
Formation energy (no corrections) (eV per atom): -0.77

a = 5.669 Å, b = 3.280 Å, c = 11.841 Å
α = 90.00°, β = 91.85°, γ = 90.00°
Space group C2/m (No. 12)
Unique sites:
Be  0.000  0.000  0.000 (multiplicity 2)
Tl  0.000  0.500  0.500 (multiplicity 2)
Cl  0.175  0.500  0.106 (multiplicity 4)

First-principles (PBE-GGA) data for a relaxed BaZrTa crystal, as listed in the Alexandria database.

Properties
Energy above the most stable polymorph in this dataset (meV/atom): 1388
Formation energy (eV per atom): 2.07

a = 6.912 Å, b = 6.912 Å, c = 6.912 Å
α = 90.00°, β = 90.00°, γ = 90.00°
Space group F-43m (No. 216)
Unique sites:
Ba  0.000  0.000  0.000 (multiplicity 4)
Zr  0.250  0.250  0.750 (multiplicity 4)
Ta  0.250  0.250  0.250 (multiplicity 4)

First-principles (PBE-GGA) data for a relaxed Na12AsAu6 crystal, as listed in the Alexandria database.

Properties
Formation energy (eV per atom): -0.23

a = 9.918 Å, b = 9.918 Å, c = 9.918 Å
α = 90.00°, β = 90.00°, γ = 90.00°
Space group Im-3 (No. 204)
Unique sites:
Na  0.000  0.280  0.174 (multiplicity 24)
As  0.000  0.000  0.000 (multiplicity 2)
Au  0.000  0.140  0.500 (multiplicity 12)

First-principles (PBE-GGA) data for a relaxed Sc3Ag crystal, as listed in the Alexandria database.

Properties
Energy above the most stable polymorph in this dataset (meV/atom): 944
Formation energy (eV per atom): 0.81

a = 5.265 Å, b = 5.265 Å, c = 5.265 Å
α = 90.00°, β = 90.00°, γ = 90.00°
Space group Pm-3m (No. 221)
Unique sites:
Sc  0.000  0.000  0.500 (multiplicity 3)
Ag  0.000  0.000  0.000 (multiplicity 1)

First-principles (PBE-GGA) data for a relaxed La5PrMg crystal, as listed in the Alexandria database.

Properties
Energy above the most stable polymorph in this dataset (meV/atom): 0
Formation energy (eV per atom): 0.07

a = 8.962 Å, b = 10.015 Å, c = 11.843 Å
α = 90.00°, β = 110.88°, γ = 90.00°
Space group C2/c (No. 15)
Unique sites:
La  0.000  0.154  0.250 (multiplicity 4)
La  0.117  0.344  0.524 (multiplicity 8)
La  0.208  0.172  0.836 (multiplicity 8)
Pr  0.000  0.483  0.750 (multiplicity 4)
Mg  0.000  0.000  0.000 (multiplicity 4)

First-principles (PBE-GGA) data for a relaxed As2PbF8 crystal, as listed in the Alexandria database.

Properties
Formation energy (no corrections) (eV per atom): -2.11

a = 10.418 Å, b = 6.531 Å, c = 5.803 Å
α = 90.00°, β = 92.84°, γ = 90.00°
Space group C2/m (No. 12)
Unique sites:
As  0.226  0.000  0.383 (multiplicity 4)
Pb  0.000  0.500  0.000 (multiplicity 2)
F  0.118  0.000  0.126 (multiplicity 4)
F  0.125  0.500  0.352 (multiplicity 4)
F  0.175  0.306  0.748 (multiplicity 8)

First-principles (PBE-GGA) data for a relaxed ScNbCd crystal, as listed in the Alexandria database.

Properties
Energy above the most stable polymorph in this dataset (meV/atom): 0
Formation energy (eV per atom): -0.12

a = 3.433 Å, b = 3.433 Å, c = 10.699 Å
α = 90.00°, β = 90.00°, γ = 90.00°
Space group P4/nmm (No. 129, origin choice 2)
Unique sites:
Sc  0.250  0.250  0.230 (multiplicity 2)
Nb  0.250  0.250  0.936 (multiplicity 2)
Cd  0.250  0.250  0.587 (multiplicity 2)

First-principles (PBE-GGA) data for a relaxed NaLi6Mg12 crystal, as listed in the Alexandria database.

Properties
Formation energy (eV per atom): 0.02

a = 10.4923 Å, b = 10.4923 Å, c = 13.3857 Å
α = 90.00°, β = 90.00°, γ = 120.00°
Space group R-3 (No. 148, hexagonal axes)
Unique sites:
Na  0.0000  0.0000  0.0000 (multiplicity 3)
Li  0.0221  0.5880  0.7038 (multiplicity 18)
Mg  0.0315  0.8434  0.8053 (multiplicity 18)
Mg  0.0610  0.2220  0.4163 (multiplicity 18)

First-principles (PBE-GGA) data for a relaxed LaZn2InPd crystal, as listed in the Alexandria database.

Properties
Formation energy (eV per atom): -0.50

a = 12.937 Å, b = 4.196 Å, c = 4.187 Å
α = 90.00°, β = 108.81°, γ = 90.00°
Space group Cm (No. 8)
Unique sites:
La  0.000  0.000  0.000 (multiplicity 2)
Zn  0.111  0.500  0.612 (multiplicity 2)
Zn  0.257  0.000  0.757 (multiplicity 2)
In  0.256  0.500  0.256 (multiplicity 2)
Pd  0.403  0.000  0.402 (multiplicity 2)

First-principles (PBE-GGA) data for a relaxed Ac3LaGe4 crystal, as listed in the Alexandria database.

Properties
Formation energy (eV per atom): -0.62

a = 4.494 Å, b = 6.737 Å, c = 17.222 Å
α = 90.00°, β = 90.00°, γ = 90.00°
Space group Immm (No. 71)
Unique sites:
Ac  0.000  0.000  0.000 (multiplicity 2)
Ac  0.000  0.500  0.195 (multiplicity 4)
La  0.000  0.000  0.500 (multiplicity 2)
Ge  0.000  0.313  0.372 (multiplicity 8)

First-principles (PBE-GGA) data for a relaxed MgRu2Pt2 crystal, as listed in the Alexandria database.

Properties
Formation energy (eV per atom): 0.05

a = 7.638 Å, b = 7.638 Å, c = 2.798 Å
α = 90.00°, β = 90.00°, γ = 90.00°
Space group P4/mbm (No. 127)
Unique sites:
Mg  0.000  0.000  0.000 (multiplicity 2)
Ru  0.116  0.384  0.000 (multiplicity 4)
Pt  0.182  0.682  0.500 (multiplicity 4)

First-principles (PBE-GGA) data for a relaxed TbSmPd4 crystal, as listed in the Alexandria database.

Properties
Energy above the most stable polymorph in this dataset (meV/atom): 287
Formation energy (eV per atom): -0.58

a = 3.949 Å, b = 3.949 Å, c = 8.619 Å
α = 90.00°, β = 90.00°, γ = 90.00°
Space group P4/mmm (No. 123)
Unique sites:
Tb  0.000  0.000  0.000 (multiplicity 1)
Sm  0.500  0.500  0.500 (multiplicity 1)
Pd  0.000  0.500  0.246 (multiplicity 4)

no.,V (Å³/cell)
1,190
2,386
3,179
4,448
5,106
6,88
7,192
8,178
9,798
10,186
11,433
12,65
13,220
14,330
15,976
16,146
17,993
18,394
19,126
20,1276
21,215
22,521
23,163
24,134